A plane-wave DFT calculation with PBE with a Hubbard U was carried out for a relaxed LiTi3V5O16 crystal.

raw total energy: -200.6 eV/cell
volume: 11.2 Å³/atom
mass density: 3.91 g/cm³
crystal system: triclinic
total magnetization: 6.0 μB/f.u.

Structure (POSCAR):
```
LiTi3V5O16
1.0
5.888 -0.007 -0.001
-2.870 5.169 0.007
-0.023 -0.001 9.224
O Li V Ti
16 1 5 3
Direct
0.184 0.825 0.401
0.996 0.012 0.687
0.824 0.166 0.898
0.845 0.673 0.893
0.336 0.183 0.894
0.517 0.038 0.174
0.461 0.954 0.664
0.480 0.536 0.659
0.003 0.998 0.196
0.521 0.477 0.170
0.675 0.330 0.403
0.664 0.816 0.400
0.045 0.527 0.662
0.337 0.672 0.903
0.961 0.483 0.168
0.175 0.333 0.402
0.336 0.668 0.116
0.327 0.660 0.523
0.657 0.333 0.015
0.185 0.859 0.789
0.334 0.175 0.303
0.848 0.656 0.290
0.674 0.822 0.791
0.139 0.336 0.795
0.810 0.134 0.302
```

---

A plane-wave DFT calculation with PBE with a Hubbard U was carried out for a relaxed LiTiVO4 crystal.

volume: 10.8 Å³/atom
mass density: 3.74 g/cm³
crystal system: orthorhombic
total magnetization: 2.0 μB/f.u.
energy relative to the lowest polymorph listed for this composition: 98 meV per atom

Structure (POSCAR):
```
LiTiVO4
1.0
-0.787 3.645 -4.608
-4.823 -0.610 -3.472
-4.303 4.139 0.196
O Ti V Li
8 2 2 2
Direct
0.760 0.766 0.266
0.245 0.780 0.730
0.240 0.234 0.734
0.208 0.766 0.266
0.792 0.234 0.734
0.755 0.770 0.720
0.755 0.220 0.270
0.245 0.230 0.280
0.500 0.000 0.500
0.000 0.000 0.500
0.000 0.000 0.000
0.000 0.500 0.500
0.000 0.500 0.000
0.500 0.500 0.000
```

---

The highest mass density belongs to which entry? LiTi3V5O16

---

Among the records above, which one has the highest mass density? LiTi3V5O16